Material: AlZnTc2
Method: DFT, GGA-PBE
State: optimized geometry

For the excess energy over the best structure of this formula in the dataset, the calculation gives 147 meV/atom. As for the calculated formation energy: -0.060 eV/atom.

The space group is R3m (No. 160, hexagonal axes) and the conventional cell measures 2.7918, 2.7918 and 26.4887 Å, with angles of 90.00, 90.00 and 120.00 degrees. The asymmetric unit holds Al at (0.0000, 0.0000, 0.0000), Zn at (0.0000, 0.0000, 0.2459), Tc at (0.0000, 0.0000, 0.4935) and Tc at (0.0000, 0.0000, 0.7490).

Material: CuNCl3
Method: DFT, GGA-PBE
State: optimized geometry

For the excess energy over the best structure of this formula in the dataset, the calculation gives 1013 meV/atom. The energy relative to the elements, uncorrected is 6.470 eV/f.u.

The space group is Pm-3m (No. 221) and the conventional cell measures 4.621, 4.621 and 4.621 Å, with angles of 90.00, 90.00 and 90.00 degrees. The asymmetric unit holds Cu at (0.000, 0.000, 0.000), N at (0.500, 0.500, 0.500) and Cl at (0.000, 0.000, 0.500).

Material: ZnReAs
Method: DFT, GGA-PBE
State: optimized geometry

For the excess energy over the best structure of this formula in the dataset, the calculation gives 0 meV/atom. As for the calculated formation energy: 0.112 eV/atom.

The space group is I4mm (No. 107) and the conventional cell measures 3.229, 3.229 and 8.539 Å, with angles of 90.00, 90.00 and 90.00 degrees. The asymmetric unit holds Zn at (0.000, 0.000, 0.000), Re at (0.000, 0.000, 0.322) and As at (0.000, 0.000, 0.678).

Material: Ce3Mg3Rh2
Method: DFT, GGA-PBE
State: optimized geometry

As for the calculated formation energy: -0.365 eV/atom.

The space group is C2/m (No. 12) and the conventional cell measures 15.822, 4.875 and 5.071 Å, with angles of 90.00, 99.03 and 90.00 degrees. The asymmetric unit holds Ce at (0.000, 0.000, 0.000), Ce at (0.167, 0.000, 0.592), Mg at (0.000, 0.500, 0.500), Mg at (0.135, 0.500, 0.065) and Rh at (0.212, 0.000, 0.139).

| no. | spin magnetization (μB per atom) | mass density (Mg/m³) |
| --- | --- | --- |
| 1 | 0.000 | 8.04 |
| 2 | 0.000 | 3.10 |
| 3 | 0.000 | 12.18 |
| 4 | 0.278 | 6.01 |